Record 1
{"formula": "TmIn2Hg6Pb", "functional": "PBE", "state": "optimized geometry", "cell": [[9.255, -2.205, -0.754], [-3.322, 8.915, -0.754], [-2.516, -2.845, 7.688]], "species": ["Tm", "Tm", "In", "In", "In", "In", "Hg", "Hg", "Hg", "Hg", "Hg", "Hg", "Hg", "Hg", "Hg", "Hg", "Hg", "Hg", "Pb", "Pb"], "frac_coords": [[0.551, 0.449, 0.250], [0.449, 0.551, 0.750], [0.442, 0.198, 0.767], [0.802, 0.558, 0.733], [0.558, 0.802, 0.233], [0.198, 0.442, 0.267], [0.804, 0.366, 0.145], [0.634, 0.196, 0.355], [0.196, 0.634, 0.855], [0.366, 0.804, 0.645], [0.213, 0.992, 0.974], [0.008, 0.787, 0.526], [0.787, 0.008, 0.026], [0.992, 0.213, 0.474], [0.712, 0.807, 0.613], [0.193, 0.288, 0.887], [0.288, 0.193, 0.387], [0.807, 0.712, 0.113], [0.207, 0.793, 0.250], [0.793, 0.207, 0.750]], "ef_mev_per_atom": -95, "crystal_system": "monoclinic", "m_tot_mub_per_fu": 0.0}


Record 2
{"formula": "YInHgPb", "functional": "PBE", "state": "optimized geometry", "cell": [[-2.496, 1.869, -3.419], [-3.848, -1.843, 1.802], [-0.663, 3.984, 2.661]], "species": ["Y", "In", "Hg", "Pb"], "frac_coords": [[0.000, 0.000, 0.000], [0.500, 0.000, 0.500], [0.000, 0.500, 0.500], [0.500, 0.500, 0.000]], "ef_mev_per_atom": -371, "crystal_system": "orthorhombic", "m_tot_mub_per_fu": 0.0, "e_above_lowest_polymorph_mev_per_atom": 0}


Record 3
{"formula": "YIn2Hg6Pb", "functional": "PBE", "state": "optimized geometry", "cell": [[10.440, -3.195, 2.088], [-4.450, 9.970, 2.088], [0.036, 0.041, 6.307]], "species": ["Y", "Y", "In", "In", "In", "In", "Hg", "Hg", "Hg", "Hg", "Hg", "Hg", "Hg", "Hg", "Hg", "Hg", "Hg", "Hg", "Pb", "Pb"], "frac_coords": [[0.610, 0.390, 0.250], [0.390, 0.610, 0.750], [0.475, 0.192, 0.850], [0.808, 0.525, 0.650], [0.525, 0.808, 0.150], [0.192, 0.475, 0.350], [0.328, 0.310, 0.098], [0.690, 0.672, 0.402], [0.672, 0.690, 0.902], [0.310, 0.328, 0.598], [0.414, 0.901, 0.759], [0.099, 0.586, 0.741], [0.586, 0.099, 0.241], [0.901, 0.414, 0.259], [0.758, 0.965, 0.462], [0.035, 0.242, 0.038], [0.242, 0.035, 0.538], [0.965, 0.758, 0.962], [0.179, 0.821, 0.250], [0.821, 0.179, 0.750]], "ef_mev_per_atom": -68, "crystal_system": "monoclinic", "m_tot_mub_per_fu": 0.0}


Record 4
{"formula": "YInHgPb", "functional": "PBE", "state": "optimized geometry", "cell": [[-4.440, -2.187, -2.131], [-0.301, -5.333, -0.714], [-3.296, -2.949, 3.080]], "species": ["Pb", "Y", "Hg", "In"], "frac_coords": [[0.250, 0.250, 0.250], [0.750, 0.750, 0.750], [0.500, 0.500, 0.500], [0.000, 0.000, 0.000]], "ef_mev_per_atom": -191, "crystal_system": "cubic", "m_tot_mub_per_fu": 0.0, "e_above_lowest_polymorph_mev_per_atom": 180}